Entry 1:
Compound: TaAlS2
Source: the Alexandria database
Functional: meta-GGA SCAN
Structure: PBEsol geometry

Values from the calculation:
- E_tot: -24.116 eV/atom
- V: 71 Å³/cell
- ΔE_f (raw): -0.7179 eV/atom
- Space-group type: R-3m (166)

Geometry as POSCAR:
```
TaAlS2
1.0
3.181 0.000 0.000
1.591 2.755 0.000
1.591 0.918 8.064
S Al Ta
2 1 1
Cartesian
4.772 2.755 2.404
1.591 0.918 5.659
0.000 0.000 0.000
3.181 1.837 4.032
```

***

Entry 2:
Compound: Tb9Al5S21
Source: the Alexandria database
Functional: meta-GGA SCAN
Structure: PBEsol geometry

Values from the calculation:
- E_tot: -20.889 eV/atom
- V: 1421 Å³/cell
- ΔE_f (raw): -1.9805 eV/atom
- Space-group type: R3 (146)

Geometry as POSCAR:
```
Tb9Al5S21
1.0
11.273 0.050 0.055
-0.873 11.239 0.055
-0.873 -0.948 11.199
Tb Al S
18 10 42
Cartesian
9.225 8.240 1.375
2.102 0.368 5.095
5.241 3.753 8.625
7.798 5.900 4.508
-0.124 9.246 8.329
4.853 2.508 0.821
0.194 4.885 2.572
3.311 8.096 6.279
7.456 0.488 9.953
4.179 6.415 2.408
7.428 9.993 6.241
0.119 1.948 9.841
4.698 7.840 10.511
9.585 0.908 2.819
1.477 4.315 6.604
1.932 9.776 1.156
6.050 1.980 4.887
9.351 5.482 8.747
3.708 -0.122 8.093
7.741 4.357 0.601
-0.425 7.732 4.393
1.287 5.339 9.937
5.216 9.744 2.601
9.283 2.055 6.205
8.180 8.880 9.712
1.670 1.813 1.983
6.447 6.999 7.654
3.401 3.693 4.038
4.872 1.177 9.464
8.891 5.620 2.018
0.774 8.984 5.777
-0.783 3.198 7.578
3.251 7.594 0.161
7.302 -0.185 3.861
4.609 -0.412 6.061
7.805 3.191 9.784
0.453 7.576 2.325
1.597 0.586 7.753
5.676 5.091 0.131
8.788 8.554 4.052
2.541 9.027 8.882
7.513 2.220 1.276
-0.788 5.630 5.083
-0.568 4.468 10.843
3.324 8.887 3.422
7.383 1.250 7.119
2.334 3.527 9.156
6.350 7.930 1.880
10.412 0.286 5.418
0.641 6.424 8.066
4.500 10.817 0.769
8.584 3.047 4.330
3.881 2.955 6.259
7.221 6.646 10.087
0.041 10.971 2.724
1.724 0.183 11.170
5.632 4.357 3.502
8.830 7.971 7.520
6.032 9.356 8.611
10.930 2.629 1.179
2.627 5.867 4.652
2.728 4.140 1.715
5.933 7.760 5.524
9.892 -0.233 8.950
4.307 6.307 8.223
8.095 10.591 0.567
1.110 2.828 4.277
-1.043 8.036 10.599
3.903 1.435 3.199
7.248 4.918 7.016
```

***

Entry 3:
Compound: AlTcS2
Source: the Alexandria database
Functional: meta-GGA SCAN
Structure: PBEsol geometry

Values from the calculation:
- E_tot: -15.908 eV/atom
- V: 144 Å³/cell
- ΔE_f (raw): -0.3915 eV/atom
- Space-group type: I-42d (122)

Geometry as POSCAR:
```
AlTcS2
1.0
-0.315 -0.255 5.307
3.177 -4.271 -0.017
2.646 5.295 -2.257
S Tc Al
4 2 2
Cartesian
1.578 -0.501 4.068
3.323 -2.509 1.417
3.770 1.147 1.614
2.346 3.401 -1.032
3.627 -0.619 0.186
0.000 0.000 0.000
1.881 1.388 2.848
1.431 -2.263 2.645
```

***

Entry 4:
Compound: AlTeS2
Source: the Alexandria database
Functional: meta-GGA SCAN
Structure: PBEsol geometry

Values from the calculation:
- E_tot: -16.770 eV/atom
- V: 84 Å³/cell
- ΔE_f (raw): -0.7056 eV/atom
- Space-group type: R-3m (166)

Geometry as POSCAR:
```
AlTeS2
1.0
3.518 0.000 0.000
1.759 3.046 0.000
1.759 1.015 7.877
S Te Al
2 1 1
Cartesian
5.277 3.046 2.646
1.759 1.015 5.232
0.000 0.000 0.000
3.518 2.031 3.939
```

***

Entry 5:
Compound: AlTeS2
Source: the Alexandria database
Functional: meta-GGA SCAN
Structure: PBEsol geometry

Values from the calculation:
- E_tot: -16.294 eV/atom
- V: 164 Å³/cell
- ΔE_f (raw): -0.2292 eV/atom
- Space-group type: I-42d (122)

Geometry as POSCAR:
```
AlTeS2
1.0
-1.676 -5.629 3.792
3.921 4.227 1.564
-0.338 3.970 5.745
S Te Al
4 2 2
Cartesian
1.884 1.535 5.431
2.318 5.546 6.939
-0.674 -1.666 6.896
0.286 -0.280 2.934
0.450 0.869 7.934
0.000 0.000 0.000
1.457 1.699 3.166
-1.007 -0.830 4.768
```

***

Entry 6:
Compound: Ti2AlS
Source: the Alexandria database
Functional: meta-GGA SCAN
Structure: PBEsol geometry

Values from the calculation:
- E_tot: -12.560 eV/atom
- V: 61 Å³/cell
- ΔE_f (raw): -0.1996 eV/atom
- Space-group type: Fm-3m (225)

Geometry as POSCAR:
```
Ti2AlS
1.0
4.411 0.000 0.000
2.205 3.820 0.000
2.205 1.273 3.601
S Al Ti
1 1 2
Cartesian
4.411 2.547 1.801
0.000 0.000 0.000
2.205 1.273 0.900
6.616 3.820 2.701
```

***

Entry 7:
Compound: AlTlS2
Source: the Alexandria database
Functional: meta-GGA SCAN
Structure: PBEsol geometry

Values from the calculation:
- E_tot: -25.820 eV/atom
- V: 192 Å³/cell
- ΔE_f (raw): -0.9783 eV/atom
- Space-group type: I-42d (122)

Geometry as POSCAR:
```
AlTlS2
1.0
-0.346 -1.202 -6.204
5.911 0.304 2.242
2.172 -5.713 -1.645
Tl S Al
2 4 2
Cartesian
1.848 -1.953 -2.953
0.000 0.000 0.000
3.027 -0.687 0.252
5.644 -4.420 -4.887
2.222 -5.125 -4.703
4.579 -2.990 -1.876
5.889 -4.658 -2.654
4.041 -2.704 0.299
```

***

Entry 8:
Compound: AlTlS2
Source: the Alexandria database
Functional: meta-GGA SCAN
Structure: PBEsol geometry

Values from the calculation:
- E_tot: -25.875 eV/atom
- V: 767 Å³/cell
- ΔE_f (raw): -1.0332 eV/atom
- Space-group type: C2/c (15)

Geometry as POSCAR:
```
AlTlS2
1.0
7.208 0.002 0.002
0.000 7.208 0.002
-1.805 -1.805 14.767
Al Tl S
8 8 16
Cartesian
3.587 4.496 5.002
1.810 2.719 2.386
1.816 0.908 9.770
3.593 2.685 12.386
1.809 6.283 2.408
0.023 4.497 4.980
3.594 -0.878 12.364
5.380 0.908 9.792
1.796 0.885 5.681
5.421 4.511 1.707
3.607 4.520 9.091
-0.018 0.894 13.064
5.362 0.891 1.635
5.416 0.945 5.753
0.041 4.514 13.136
-0.013 4.459 9.019
3.651 6.351 3.716
-0.044 2.655 3.672
1.752 -0.946 11.056
5.447 2.750 11.100
3.651 2.656 3.694
1.752 2.749 11.078
-0.046 6.352 3.694
5.450 -0.947 11.078
1.843 0.890 1.068
5.416 4.465 6.320
3.561 4.514 13.704
-0.012 0.940 8.451
1.797 4.497 6.365
1.809 4.509 1.023
3.606 0.908 8.406
3.594 0.895 13.749
```

***

Entry 9:
Compound: AlWS3
Source: the Alexandria database
Functional: meta-GGA SCAN
Structure: PBEsol geometry

Values from the calculation:
- E_tot: -21.200 eV/atom
- V: 101 Å³/cell
- ΔE_f (raw): 0.0647 eV/atom
- Space-group type: Pm-3m (221)

Geometry as POSCAR:
```
AlWS3
1.0
-0.770 -4.368 1.438
2.272 -1.629 -3.731
3.998 0.085 2.397
S Al W
3 1 1
Cartesian
1.136 -0.815 -1.866
1.999 0.042 1.199
-0.385 -2.184 0.719
2.750 -2.956 0.052
0.000 0.000 0.000
```

***

Entry 10:
Compound: YAlS2
Source: the Alexandria database
Functional: meta-GGA SCAN
Structure: PBEsol geometry

Values from the calculation:
- E_tot: -14.843 eV/atom
- V: 86 Å³/cell
- ΔE_f (raw): -1.1299 eV/atom
- Space-group type: R-3m (166)

Geometry as POSCAR:
```
YAlS2
1.0
3.545 0.000 0.000
1.773 3.070 0.000
1.773 1.023 7.939
Y S Al
1 2 1
Cartesian
0.000 0.000 0.000
5.318 3.070 2.671
1.773 1.023 5.268
3.545 2.047 3.969
```

***

Entry 11:
Compound: Y2AlS
Source: the Alexandria database
Functional: meta-GGA SCAN
Structure: PBEsol geometry

Values from the calculation:
- E_tot: -18.936 eV/atom
- V: 88 Å³/cell
- ΔE_f (raw): -0.6693 eV/atom
- Space-group type: Fm-3m (225)

Geometry as POSCAR:
```
Y2AlS
1.0
-2.680 1.110 -4.061
1.709 -1.219 -4.527
-2.209 -3.639 -2.604
Y S Al
2 1 1
Cartesian
-0.795 -0.937 -2.798
-2.385 -2.811 -8.394
-1.590 -1.874 -5.596
0.000 0.000 0.000
```

***

Entry 12:
Compound: Y9Al5S21
Source: the Alexandria database
Functional: meta-GGA SCAN
Structure: PBEsol geometry

Values from the calculation:
- E_tot: -16.048 eV/atom
- V: 1415 Å³/cell
- ΔE_f (raw): -2.0040 eV/atom
- Space-group type: R3 (146)

Geometry as POSCAR:
```
Y9Al5S21
1.0
11.256 0.014 0.015
-0.815 11.226 0.015
-0.815 -0.877 11.192
Y Al S
18 10 42
Cartesian
0.372 9.711 2.941
7.504 5.331 10.435
4.336 2.109 6.768
1.784 6.391 5.003
9.658 2.845 1.316
4.764 9.776 8.680
9.399 8.218 6.143
6.242 4.808 2.640
2.127 0.530 9.914
5.405 8.516 4.651
2.126 5.019 0.777
9.442 0.738 8.449
4.849 0.577 2.543
0.041 7.670 10.112
8.095 4.158 6.368
7.646 10.032 1.407
3.551 5.682 8.859
0.218 2.148 5.065
5.880 2.313 10.664
1.874 10.151 6.863
9.986 6.633 3.153
8.262 0.922 5.065
4.354 8.606 1.321
0.311 4.389 8.684
1.355 1.459 1.580
7.930 8.537 9.245
3.104 3.342 3.619
6.184 6.657 7.209
4.702 1.061 9.258
0.712 8.849 5.488
8.773 5.363 1.794
10.346 3.085 7.393
6.343 10.842 3.662
2.315 6.532 11.099
5.000 4.320 11.131
1.771 0.924 7.243
9.129 8.687 3.490
7.992 2.705 9.990
3.940 10.675 6.172
0.791 7.075 2.404
6.997 2.292 1.497
2.109 9.309 8.937
10.356 5.778 5.190
10.117 -0.053 5.858
6.243 7.711 2.106
2.211 3.412 9.408
7.231 1.560 6.940
3.240 9.183 3.196
-0.797 5.038 10.519
8.920 2.875 4.148
5.083 10.520 0.413
1.023 6.335 7.854
5.693 4.386 7.753
2.321 0.896 3.770
9.505 8.560 0.068
7.838 -0.735 10.083
3.955 7.252 6.597
0.723 3.569 2.673
3.506 2.586 1.193
-1.310 9.434 8.539
6.941 6.221 4.988
6.869 9.004 6.955
3.628 5.526 3.044
-0.302 1.461 10.716
5.244 2.714 4.254
1.479 10.697 0.658
8.474 6.336 8.042
10.560 0.476 2.308
5.695 7.308 9.528
2.321 3.809 5.750
```

***

Question: E_tot of number 12 (Y9Al5S21)?
Answer: -16.048 eV/atom

***

Question: E_tot of number 8 (AlTlS2)?
Answer: -25.875 eV/atom